The following is a PBE calculation of an optimized crystal structure of MnTl2Cr2, from Alexandria.

a = 5.9353 Å, b = 5.9353 Å, c = 5.9353 Å
α = 136.92°, β = 136.92°, γ = 62.56°
Closest atoms and distances in Å follow each position.
Positions (direct):
Mn1 0.0000 0.0000 0.0000  8 Cr 3.21, 8 Tl 3.34
Tl1 0.2500 0.7500 0.5000  4 Cr 2.74
Tl2 0.7500 0.2500 0.5000  4 Cr 2.74
Cr1 0.4129 0.4129 0.0000  1 Cr 1.77
Cr2 0.5871 0.5871 0.0000  1 Cr 1.77

As for the distance to the lowest polymorph of the same formula: 0.497 eV per atom. As for the formation energy: 1348 meV per atom. The total magnetization is 0.31 μB per formula unit. The space group is I4/mmm. For the total energy, the calculation gives -26.4 eV per formula unit.